! CaMn8O13F3, optimized geometry, DFT GGA+U; values from VASP
&SYSTEM
  ibrav = 0, nat = 25, ntyp = 4
/
ATOMIC_SPECIES
Ca 40.08 Ca.upf
Mn 54.94 Mn.upf
O 16.00 O.upf
F 19.00 F.upf
CELL_PARAMETERS angstrom
5.5889 0.2993 0.2021
0.7124 7.2814 0.1967
1.1481 0.5052 7.6680
ATOMIC_POSITIONS angstrom
Ca 0.7830 4.8804 1.5884
Mn 4.3908 1.1227 4.9199
Mn 3.0089 3.2346 7.0643
Mn 4.9232 1.6875 1.4970
Mn 6.2667 5.2880 5.4064
Mn 2.3931 6.8925 6.4776
Mn 1.1473 2.3062 4.3223
Mn 3.4446 6.7685 3.3580
Mn 3.5047 6.2373 0.5000
O 6.1004 1.2876 5.8330
O 3.3381 0.7366 6.4611
O 2.7618 1.3167 3.8946
O 3.4385 5.5056 7.2943
O 1.5662 3.3849 5.8544
O 6.3940 6.1823 7.1390
O 5.5032 1.6350 3.3907
O 2.4004 6.0597 4.8079
O 6.2188 4.2400 3.8244
O 0.7047 2.6699 0.8963
O 5.1380 6.6184 4.5617
O 3.0423 5.3644 2.1472
O 4.4504 7.3837 1.8093
F 4.2033 3.0681 5.4856
F 3.4914 2.6118 0.5054
F 1.2319 7.1108 0.7502
! * M_tot: 29.00 μB/cell
! * total DFT energy (no corrections): -6.9476 eV per atom